one) YHo5Er after structural relaxation. Source: Alexandria via LeMat-Bulk, functional GGA-PBE.

Properties
symmetry = C2/c (15)

POSCAR file:
```
YHo5Er
1.0
4.7891 4.2549 0.8280
-4.7891 4.2549 0.8280
0.0000 2.6995 11.4088
Y Ho Er
2 10 2
Direct
0.0000 0.0000 0.0000 Y
0.0000 0.0000 0.5000 Y
0.9690 0.6140 0.8335 Ho
0.2362 0.5322 0.5350 Ho
0.6140 0.9690 0.3335 Ho
0.8356 0.1644 0.7500 Ho
0.4678 0.7638 0.9650 Ho
0.5322 0.2362 0.0350 Ho
0.1644 0.8356 0.2500 Ho
0.3860 0.0310 0.6665 Ho
0.7638 0.4678 0.4650 Ho
0.0310 0.3860 0.1665 Ho
0.4901 0.5099 0.7500 Er
0.5099 0.4901 0.2500 Er
```

=====

two) YHo5Er after structural relaxation. Source: Alexandria via LeMat-Bulk, functional GGA-PBE.

Properties
symmetry = Immm (71)

POSCAR file:
```
YHo5Er
1.0
5.7738 0.0000 0.0000
2.8869 7.3327 0.5179
2.8869 1.8208 7.1219
Y Ho Er
1 5 1
Direct
0.0000 0.0000 0.0000 Y
0.5000 0.1777 0.8223 Ho
0.5000 0.8223 0.1777 Ho
0.7441 0.2559 0.2559 Ho
0.2559 0.7441 0.7441 Ho
0.0000 0.5000 0.5000 Ho
0.5000 0.5000 0.5000 Er
```

=====

Relative energies, unit eV/atom: one) 0.000; two) 1.019

=====

one) Y2Ho8Er after structural relaxation. Source: Alexandria via LeMat-Bulk, functional GGA-PBE.

Properties
symmetry = C2/m (12)

POSCAR file:
```
Y2Ho8Er
1.0
5.5886 1.8183 0.0000
2.8818 8.5706 0.0000
1.4409 4.2853 8.2391
Y Ho Er
2 8 1
Direct
0.0000 0.3099 0.3803 Y
0.0000 0.6901 0.6197 Y
0.8022 0.0978 0.2457 Ho
0.8022 0.3434 0.7543 Ho
0.2869 0.4462 0.0000 Ho
0.5000 0.7972 0.4057 Ho
0.5000 0.2028 0.5943 Ho
0.7131 0.5538 0.0000 Ho
0.1978 0.6566 0.2457 Ho
0.1978 0.9022 0.7543 Ho
0.5000 0.0000 0.0000 Er
```

=====

two) Y2Ho8Er after structural relaxation. Source: Alexandria via LeMat-Bulk, functional GGA-PBE.

Properties
symmetry = C2/m (12)

POSCAR file:
```
Y2Ho8Er
1.0
5.9633 1.0373 2.6273
1.7363 8.2030 5.6541
0.8960 2.9966 9.6172
Y Ho Er
2 8 1
Direct
0.5966 0.7995 0.7995 Y
0.4034 0.2005 0.2005 Y
0.2264 0.3495 0.8258 Ho
0.7736 0.1742 0.6505 Ho
0.1734 0.7551 0.7551 Ho
0.8266 0.2449 0.2449 Ho
0.2264 0.8258 0.3495 Ho
0.7736 0.6505 0.1742 Ho
0.7262 0.5885 0.5885 Ho
0.2738 0.4115 0.4115 Ho
0.0000 0.0000 0.0000 Er
```

=====

Relative energies, unit eV/atom: one) 0.000; two) 0.013

=====

one) Y5Ho2Er3 after structural relaxation. Source: Alexandria via LeMat-Bulk, functional GGA-PBE.

Properties
symmetry = C2/c (15)

POSCAR file:
```
Y5Ho2Er3
1.0
8.3808 1.5678 -3.9016
0.2624 8.4911 -3.9778
-1.7274 -1.9123 10.7647
Y Ho Er
10 4 6
Direct
0.2801 0.5301 0.0602 Y
0.7199 0.4699 0.9398 Y
0.0193 0.7693 0.5387 Y
0.5205 0.2705 0.5410 Y
0.9807 0.2307 0.4613 Y
0.4795 0.7295 0.4590 Y
0.8846 0.6348 0.7768 Y
0.1154 0.3652 0.2232 Y
0.3922 0.1421 0.7768 Y
0.6078 0.8579 0.2232 Y
0.7813 0.0258 0.7616 Ho
0.2187 0.9742 0.2384 Ho
0.4803 0.7358 0.7616 Ho
0.5197 0.2642 0.2384 Ho
0.2201 0.9701 0.9403 Er
0.7799 0.0299 0.0597 Er
0.7233 0.4678 0.2387 Er
0.2767 0.5322 0.7613 Er
0.0153 0.7709 0.2387 Er
0.9847 0.2291 0.7613 Er
```

=====

two) Y5Ho2Er3 after structural relaxation. Source: Alexandria via LeMat-Bulk, functional GGA-PBE.

Properties
symmetry = Ibam (72)

POSCAR file:
```
Y5Ho2Er3
1.0
-0.5259 -5.7898 -3.5180
7.8707 -6.7745 3.4100
-2.2217 -8.0623 7.0380
Y Ho Er
10 4 6
Direct
0.2500 0.5000 0.5000 Y
0.7500 0.5000 0.5000 Y
0.4331 0.8169 0.8169 Y
0.0669 0.1831 0.1831 Y
0.5669 0.1831 0.1831 Y
0.9331 0.8169 0.8169 Y
0.1712 0.4453 0.2123 Y
0.8288 0.5547 0.7877 Y
0.6712 0.2123 0.4453 Y
0.3288 0.7877 0.5547 Y
0.0228 0.7424 0.2119 Ho
0.9772 0.2576 0.7881 Ho
0.5228 0.2119 0.7424 Ho
0.4772 0.7881 0.2576 Ho
0.2500 0.0000 0.0000 Er
0.7500 0.0000 0.0000 Er
0.3337 0.4627 0.8698 Er
0.6663 0.5373 0.1302 Er
0.8337 0.8698 0.4627 Er
0.1663 0.1302 0.5373 Er
```

=====

Relative energies, unit eV/atom: one) 0.000; two) 0.081

=====

one) Y2Ho12Er5 after structural relaxation. Source: Alexandria via LeMat-Bulk, functional GGA-PBE.

Properties
symmetry = P-1 (2)

POSCAR file:
```
Y2Ho12Er5
1.0
-2.0498 -5.0567 -2.7413
-0.2974 7.1914 -8.4905
9.5216 -6.5677 7.2249
Y Ho Er
2 12 5
Direct
0.7367 0.9470 0.0266 Y
0.2633 0.0530 0.9734 Y
0.0533 0.2108 0.3953 Ho
0.2104 0.8411 0.0796 Ho
0.6844 0.7361 0.1320 Ho
0.1048 0.4222 0.2903 Ho
0.6320 0.5270 0.2374 Ho
0.4735 0.8951 0.5528 Ho
0.5265 0.1049 0.4472 Ho
0.8952 0.5778 0.7097 Ho
0.3680 0.4730 0.7626 Ho
0.7896 0.1589 0.9204 Ho
0.3156 0.2639 0.8680 Ho
0.9467 0.7892 0.6047 Ho
0.4216 0.6835 0.6569 Er
0.1581 0.6313 0.1844 Er
0.0000 0.0000 0.5000 Er
0.8419 0.3687 0.8156 Er
0.5784 0.3165 0.3431 Er
```

=====

two) Y2Ho12Er5 after structural relaxation. Source: Alexandria via LeMat-Bulk, functional GGA-PBE.

Properties
symmetry = C2/m (12)

POSCAR file:
```
Y2Ho12Er5
1.0
6.7720 0.0000 0.0000
-3.3860 8.5466 0.0263
0.0000 -2.9836 10.7025
Y Ho Er
2 12 5
Direct
0.7529 0.0000 0.0000 Y
0.2471 0.0000 0.0000 Y
0.0513 0.1026 0.2701 Ho
0.0684 0.6161 0.7741 Ho
0.5477 0.6161 0.7741 Ho
0.1488 0.7750 0.2501 Ho
0.6262 0.7750 0.2501 Ho
0.4213 0.8425 0.5784 Ho
0.5787 0.1575 0.4216 Ho
0.8512 0.2250 0.7499 Ho
0.3738 0.2250 0.7499 Ho
0.9316 0.3839 0.2259 Ho
0.4523 0.3839 0.2259 Ho
0.9487 0.8974 0.7299 Ho
0.2091 0.4183 0.5085 Er
0.2253 0.4506 0.9936 Er
0.0000 0.0000 0.5000 Er
0.7747 0.5494 0.0064 Er
0.7909 0.5817 0.4915 Er
```

=====

Relative energies, unit eV/atom: one) 0.000; two) 0.258

=====

one) Y6HoEr4 after structural relaxation. Source: Alexandria via LeMat-Bulk, functional GGA-PBE.

Properties
symmetry = P-6m2 (187)

POSCAR file:
```
Y6HoEr4
1.0
3.5366 0.0000 0.0000
0.0000 10.8552 0.0000
0.0000 -5.4276 9.4009
Y Ho Er
6 1 4
Direct
0.0000 0.5208 0.0416 Y
0.5000 0.6347 0.8174 Y
0.0000 0.5208 0.4792 Y
0.0000 0.9584 0.4792 Y
0.5000 0.1826 0.8174 Y
0.5000 0.1826 0.3653 Y
0.0000 0.0000 0.0000 Ho
0.5000 0.8406 0.6812 Er
0.5000 0.3188 0.1594 Er
0.5000 0.8406 0.1594 Er
0.0000 0.3333 0.6667 Er
```

=====

two) Y6HoEr4 after structural relaxation. Source: Alexandria via LeMat-Bulk, functional GGA-PBE.

Properties
symmetry = P1 (1)

POSCAR file:
```
Y6HoEr4
1.0
-4.6929 -1.3784 -3.7046
3.2516 3.6035 -3.7655
2.1098 -10.9178 1.3965
Y Ho Er
6 1 4
Direct
0.7279 0.1825 0.4534 Y
0.4528 0.5454 0.3626 Y
0.2713 0.4536 0.6362 Y
0.3653 0.0000 0.0011 Y
0.5470 0.0917 0.7274 Y
0.0904 0.3630 0.9103 Y
0.6380 0.6385 0.0913 Ho
0.9995 0.8173 0.5449 Er
0.1802 0.9072 0.2725 Er
0.8186 0.7279 0.8186 Er
0.9091 0.2729 0.1819 Er
```

=====

Relative energies, unit eV/atom: one) 0.134; two) 0.000